(1)
# ZrNbCu2Ge4 | OQMD via LeMat-Bulk | PBE | optimized geometry
data_ZrNbCu2Ge4
_cell_length_a 3.755
_cell_length_b 3.755
_cell_length_c 9.182
_cell_angle_alpha 90.00
_cell_angle_beta 90.00
_cell_angle_gamma 90.00
_symmetry_space_group_name_H-M 'P 1'
_symmetry_Int_Tables_number 1
_symmetry_space_group_name_Hall 'P 1'
loop_
_atom_site_label
_atom_site_type_symbol
_atom_site_fract_x
_atom_site_fract_y
_atom_site_fract_z
Ge1 Ge 0.500 0.000 0.493
Ge2 Ge 0.500 0.500 0.822
Nb1 Nb 0.500 0.500 0.269
Cu1 Cu 0.000 0.500 0.002
Ge3 Ge 0.000 0.500 0.493
Cu2 Cu 0.500 0.000 0.002
Zr1 Zr 0.000 0.000 0.735
Ge4 Ge 0.000 0.000 0.182
# Spin magnetization in μB/atom: 0.00
# V in Å³/cell: 129.5
# Raw total energy in eV/atom: -5.9511

(2)
# NdCuNiGe2 | OQMD via LeMat-Bulk | PBE | optimized geometry
data_NdCuNiGe2
_cell_length_a 5.824
_cell_length_b 5.824
_cell_length_c 5.824
_cell_angle_alpha 138.40
_cell_angle_beta 138.40
_cell_angle_gamma 60.30
_symmetry_space_group_name_H-M 'P 1'
_symmetry_Int_Tables_number 1
_symmetry_space_group_name_Hall 'P 1'
loop_
_atom_site_label
_atom_site_type_symbol
_atom_site_fract_x
_atom_site_fract_y
_atom_site_fract_z
Nd1 Nd 0.750 0.250 0.500
Ge1 Ge 0.124 0.624 0.500
Ge2 Ge 0.376 0.876 0.500
Ni1 Ni 0.500 0.500 0.000
Cu1 Cu 0.000 0.000 0.000
# Spin magnetization in μB/atom: 0.00
# V in Å³/cell: 86.2
# Raw total energy in eV/atom: -5.2721